{"formula": "Sr2LiCd3", "functional": "PBE", "state": "relaxed", "ef_ev_per_atom": -0.27, "e_tot_ev_per_atom": -1.6072, "m_tot_mub_per_cell": 0.000, "volume_a3_per_atom": 30.5, "cell": [[-3.311, 1.751, 5.360], [-5.904, -2.528, -1.229], [6.988, -7.069, 1.841]], "species": ["Sr", "Cd", "Cd", "Cd", "Sr", "Sr", "Li", "Cd", "Sr", "Li", "Cd", "Cd"], "frac_coords": [[0.250, 0.750, 0.500], [0.169, 0.169, 0.339], [0.831, 0.831, 0.170], [0.339, 0.339, 0.170], [0.250, 0.750, 0.000], [0.750, 0.250, 0.500], [0.667, 0.667, 0.334], [0.661, 0.661, 0.830], [0.750, 0.250, 0.000], [0.333, 0.333, 0.666], [0.169, 0.169, 0.830], [0.831, 0.831, 0.661]]}


{"formula": "La2AgI", "functional": "PBE", "state": "relaxed", "raw_formation_energy_ev_per_atom": -0.57, "e_tot_ev_per_atom": -4.1384, "m_tot_mub_per_cell": 0.000, "volume_a3_per_atom": 33.4, "cell": [[4.489, 0.000, 0.000], [2.244, 3.887, 0.000], [2.244, 1.296, 7.656]], "species": ["La", "La", "Ag", "I"], "frac_coords": [[0.743, 0.743, 0.771], [0.257, 0.257, 0.229], [0.000, 0.000, 0.000], [0.500, 0.500, 0.500]]}


{"formula": "CdB", "functional": "PBE", "state": "relaxed", "ef_ev_per_atom": 1.62, "e_tot_ev_per_atom": -2.1722, "m_tot_mub_per_cell": 0.000, "volume_a3_per_atom": 23.4, "cell": [[-4.920, -4.318, 0.001], [2.725, -3.103, 5.079], [-3.350, 3.818, 4.130]], "species": ["Cd", "B", "B", "Cd", "B", "Cd", "Cd", "Cd", "Cd", "B", "B", "B"], "frac_coords": [[0.750, 0.500, 0.000], [0.500, 0.250, 0.000], [0.000, 0.500, 0.250], [0.500, 0.000, 0.750], [0.750, 0.000, 0.500], [0.500, 0.000, 0.250], [0.000, 0.750, 0.500], [0.000, 0.250, 0.500], [0.250, 0.500, 0.000], [0.500, 0.750, 0.000], [0.000, 0.500, 0.750], [0.250, 0.000, 0.500]]}


{"formula": "Ga5NiRu4", "functional": "PBE", "state": "relaxed", "ef_ev_per_atom": -0.32, "e_tot_ev_per_atom": -6.1260, "m_tot_mub_per_cell": 0.000, "volume_a3_per_atom": 13.7, "cell": [[3.033, 0.000, 0.000], [0.000, 3.033, 0.000], [0.000, 0.000, 14.863]], "species": ["Ga", "Ga", "Ru", "Ga", "Ni", "Ga", "Ru", "Ga", "Ru", "Ru"], "frac_coords": [[0.500, 0.500, 0.704], [0.500, 0.500, 0.904], [0.000, 0.000, 0.602], [0.500, 0.500, 0.296], [0.000, 0.000, 0.000], [0.500, 0.500, 0.096], [0.000, 0.000, 0.808], [0.500, 0.500, 0.500], [0.000, 0.000, 0.192], [0.000, 0.000, 0.398]]}


{"formula": "ZrScTlRh", "functional": "PBE", "state": "relaxed", "ef_ev_per_atom": -0.36, "e_tot_ev_per_atom": -6.5140, "m_tot_mub_per_cell": 0.000, "volume_a3_per_atom": 20.2, "cell": [[-0.694, -2.547, 4.072], [3.502, -2.919, 1.663], [2.422, 1.173, 4.038]], "species": ["Rh", "Sc", "Tl", "Zr"], "frac_coords": [[0.750, 0.750, 0.750], [0.000, 0.000, 0.000], [0.250, 0.250, 0.250], [0.500, 0.500, 0.500]]}


{"formula": "YCdSnRh", "functional": "PBE", "state": "relaxed", "ef_ev_per_atom": -0.43, "e_tot_ev_per_atom": -5.1161, "m_tot_mub_per_cell": 0.000, "volume_a3_per_atom": 20.7, "cell": [[-2.897, -1.929, 3.444], [0.913, -4.486, 1.737], [1.668, -0.564, 4.569]], "species": ["Y", "Cd", "Rh", "Sn"], "frac_coords": [[0.750, 0.750, 0.750], [0.500, 0.500, 0.500], [0.000, 0.000, 0.000], [0.250, 0.250, 0.250]]}


{"formula": "Tl2GeSbSe5", "functional": "PBE", "state": "relaxed", "raw_formation_energy_ev_per_atom": -0.29, "e_tot_ev_per_atom": -3.7183, "m_tot_mub_per_cell": 0.000, "volume_a3_per_atom": 28.9, "cell": [[3.938, 0.000, 0.000], [-1.969, 9.716, 0.000], [0.000, 0.000, 13.578]], "species": ["Se", "Tl", "Se", "Se", "Se", "Tl", "Ge", "Se", "Sb", "Se", "Se", "Ge", "Se", "Tl", "Se", "Se", "Tl", "Sb"], "frac_coords": [[0.660, 0.319, 0.501], [0.881, 0.761, 0.180], [0.340, 0.681, 0.001], [0.674, 0.348, 0.872], [0.708, 0.417, 0.177], [0.131, 0.262, 0.331], [0.555, 0.111, 0.921], [0.326, 0.652, 0.372], [0.207, 0.414, 0.034], [0.488, 0.976, 0.778], [0.035, 0.070, 0.030], [0.445, 0.889, 0.421], [0.512, 0.024, 0.278], [0.119, 0.239, 0.680], [0.292, 0.583, 0.677], [0.965, 0.930, 0.530], [0.869, 0.738, 0.831], [0.793, 0.586, 0.534]]}


{"formula": "Li2Pa2VN6", "functional": "PBE", "state": "relaxed", "raw_formation_energy_ev_per_atom": -0.90, "e_tot_ev_per_atom": -8.3401, "m_tot_mub_per_cell": 0.000, "volume_a3_per_atom": 13.3, "cell": [[-3.172, -4.377, 2.141], [3.330, -0.795, -4.700], [3.818, -0.277, 3.484]], "species": ["Pa", "N", "Pa", "Li", "V", "N", "N", "N", "N", "Li", "N"], "frac_coords": [[0.337, 0.663, 0.500], [0.963, 0.648, 0.302], [0.663, 0.337, 0.500], [0.126, 0.874, 0.000], [0.000, 0.000, 0.500], [0.648, 0.963, 0.302], [0.352, 0.037, 0.698], [0.037, 0.352, 0.698], [0.758, 0.758, 0.710], [0.874, 0.126, 0.000], [0.242, 0.242, 0.290]]}


{"formula": "Ba4SiP", "functional": "PBE", "state": "relaxed", "raw_formation_energy_ev_per_atom": 0.59, "e_tot_ev_per_atom": -2.5009, "m_tot_mub_per_cell": 0.000, "volume_a3_per_atom": 38.1, "cell": [[5.399, 3.750, 1.969], [-0.816, 5.051, 4.573], [2.517, -0.679, 6.347]], "species": ["Ba", "Ba", "Si", "Ba", "Ba", "P"], "frac_coords": [[0.376, 0.376, 0.873], [0.376, 0.376, 0.376], [0.000, 0.000, 0.000], [0.873, 0.376, 0.376], [0.376, 0.873, 0.376], [0.750, 0.750, 0.750]]}


{"formula": "Na4Tl5", "functional": "PBE", "state": "relaxed", "ef_ev_per_atom": -0.10, "e_tot_ev_per_atom": -2.0027, "m_tot_mub_per_cell": 0.000, "volume_a3_per_atom": 28.6, "cell": [[4.586, 0.000, 1.394], [2.019, 5.385, 1.599], [-0.633, 0.459, 10.320]], "species": ["Tl", "Na", "Tl", "Na", "Na", "Tl", "Na", "Tl", "Tl"], "frac_coords": [[0.669, 0.548, 0.114], [0.336, 0.113, 0.216], [0.333, 0.780, 0.555], [0.001, 0.333, 0.666], [0.999, 0.667, 0.334], [0.331, 0.452, 0.886], [0.664, 0.887, 0.784], [0.000, 0.000, 0.000], [0.667, 0.220, 0.445]]}


{"formula": "LiPuTeI", "functional": "PBE", "state": "relaxed", "raw_formation_energy_ev_per_atom": -1.03, "e_tot_ev_per_atom": -6.2622, "m_tot_mub_per_cell": 12.000, "volume_a3_per_atom": 32.9, "cell": [[4.477, 0.000, 0.000], [2.239, 3.877, 0.000], [2.239, 1.292, 15.140]], "species": ["Pu", "Te", "Li", "Pu", "I", "I", "Li", "Te"], "frac_coords": [[0.583, 0.583, 0.252], [0.125, 0.125, 0.625], [0.188, 0.188, 0.437], [0.417, 0.417, 0.748], [0.709, 0.709, 0.872], [0.291, 0.291, 0.128], [0.812, 0.812, 0.563], [0.875, 0.875, 0.375]]}


{"formula": "SmTiAlRh2", "functional": "PBE", "state": "relaxed", "ef_ev_per_atom": -0.80, "e_tot_ev_per_atom": -7.0094, "m_tot_mub_per_cell": 0.000, "volume_a3_per_atom": 18.9, "cell": [[4.053, 0.000, 0.000], [0.000, 4.053, 0.000], [-2.026, -2.026, 5.741]], "species": ["Rh", "Al", "Rh", "Ti", "Sm"], "frac_coords": [[0.617, 0.617, 0.235], [0.250, 0.750, 0.500], [0.383, 0.383, 0.765], [0.750, 0.250, 0.500], [0.000, 0.000, 0.000]]}


{"formula": "Ga2ReBi", "functional": "PBE", "state": "relaxed", "ef_ev_per_atom": 0.64, "e_tot_ev_per_atom": -4.9535, "m_tot_mub_per_cell": 1.564, "volume_a3_per_atom": 21.8, "cell": [[-0.667, 4.361, 0.238], [-1.089, 0.067, -4.282], [-9.420, 0.791, 0.128]], "species": ["Ga", "Ga", "Re", "Re", "Bi", "Ga", "Bi", "Ga"], "frac_coords": [[0.221, 0.625, 0.250], [0.875, 0.779, 0.750], [0.250, 0.750, 0.500], [0.500, 0.500, 0.000], [0.000, 0.000, 0.000], [0.375, 0.471, 0.750], [0.750, 0.250, 0.500], [0.529, 0.125, 0.250]]}


{"formula": "BeGeS2N", "functional": "PBE", "state": "relaxed", "raw_formation_energy_ev_per_atom": 0.50, "e_tot_ev_per_atom": -4.4855, "m_tot_mub_per_cell": 0.053, "volume_a3_per_atom": 14.2, "cell": [[4.710, 0.000, 0.000], [0.000, 4.710, 0.000], [0.000, 0.000, 3.210]], "species": ["S", "Ge", "N", "Be", "S"], "frac_coords": [[0.500, 0.000, 0.000], [0.500, 0.500, 0.500], [0.000, 0.000, 0.500], [0.000, 0.000, 0.000], [0.000, 0.500, 0.000]]}


{"formula": "Pt2AuBr", "functional": "PBE", "state": "relaxed", "raw_formation_energy_ev_per_atom": 0.56, "e_tot_ev_per_atom": -3.7003, "m_tot_mub_per_cell": 0.000, "volume_a3_per_atom": 17.9, "cell": [[2.956, 0.000, 0.000], [0.000, 4.919, 0.000], [0.000, 0.000, 4.919]], "species": ["Br", "Au", "Pt", "Pt"], "frac_coords": [[0.500, 0.000, 0.500], [0.500, 0.500, 0.000], [0.000, 0.000, 0.000], [0.000, 0.500, 0.500]]}


{"formula": "La2YZr", "functional": "PBE", "state": "relaxed", "ef_ev_per_atom": 0.18, "e_tot_ev_per_atom": -6.0332, "m_tot_mub_per_cell": 0.003, "volume_a3_per_atom": 31.9, "cell": [[-2.250, 1.329, -3.119], [2.503, -1.873, -2.604], [-4.325, -6.354, 0.412]], "species": ["La", "Y", "Zr", "La"], "frac_coords": [[0.000, 0.000, 0.968], [0.000, 0.000, 0.538], [0.500, 0.500, 0.729], [0.500, 0.500, 0.265]]}


{"formula": "LaErPtAu", "functional": "PBE", "state": "relaxed", "ef_ev_per_atom": -0.96, "e_tot_ev_per_atom": -5.6663, "m_tot_mub_per_cell": 0.002, "volume_a3_per_atom": 23.9, "cell": [[5.130, 0.000, 0.000], [2.565, 4.443, 0.000], [2.565, 1.481, 4.189]], "species": ["Au", "Er", "Pt", "La"], "frac_coords": [[0.250, 0.250, 0.250], [0.500, 0.500, 0.500], [0.750, 0.750, 0.750], [0.000, 0.000, 0.000]]}


{"formula": "DyTm12Th5", "functional": "PBE", "state": "relaxed", "ef_ev_per_atom": 0.03, "e_tot_ev_per_atom": -5.2722, "m_tot_mub_per_cell": 0.000, "volume_a3_per_atom": 31.0, "cell": [[-1.251, 13.601, 5.818], [1.772, 4.194, 9.519], [4.726, 1.000, -1.320]], "species": ["Tm", "Tm", "Dy", "Tm", "Th", "Tm", "Tm", "Tm", "Th", "Tm", "Th", "Th", "Tm", "Tm", "Tm", "Th", "Tm", "Tm"], "frac_coords": [[0.331, 0.667, 0.000], [0.997, 0.333, 0.000], [0.000, 0.000, 0.000], [0.169, 0.334, 0.500], [0.167, 0.667, 0.500], [0.166, 0.000, 0.500], [0.336, 0.000, 0.000], [0.831, 0.666, 0.500], [0.500, 0.000, 0.500], [0.497, 0.334, 0.500], [0.833, 0.333, 0.500], [0.667, 0.665, 0.000], [0.669, 0.333, 0.000], [0.664, 0.000, 0.000], [0.003, 0.667, 0.000], [0.333, 0.335, 0.000], [0.503, 0.666, 0.500], [0.834, 0.000, 0.500]]}


{"formula": "CrSiSeBr2", "functional": "PBE", "state": "relaxed", "raw_formation_energy_ev_per_atom": 0.23, "e_tot_ev_per_atom": -4.1432, "m_tot_mub_per_cell": 4.003, "volume_a3_per_atom": 25.2, "cell": [[4.968, 0.000, 0.000], [0.000, 4.968, 0.000], [0.000, 0.000, 5.098]], "species": ["Se", "Si", "Cr", "Br", "Br"], "frac_coords": [[0.000, 0.000, 0.500], [0.500, 0.500, 0.500], [0.000, 0.000, 0.000], [0.500, 0.000, 0.000], [0.000, 0.500, 0.000]]}


{"formula": "Tl9SnHg2", "functional": "PBE", "state": "relaxed", "ef_ev_per_atom": 0.01, "e_tot_ev_per_atom": -2.1443, "m_tot_mub_per_cell": 0.000, "volume_a3_per_atom": 30.2, "cell": [[-2.519, -3.427, 3.454], [0.979, -4.167, -3.420], [10.486, -2.103, 5.561]], "species": ["Hg", "Tl", "Tl", "Tl", "Tl", "Sn", "Tl", "Hg", "Tl", "Tl", "Tl", "Tl"], "frac_coords": [[0.000, 0.000, 0.670], [0.500, 0.000, 0.169], [0.500, 0.000, 0.831], [0.500, 0.000, 0.500], [0.000, 0.500, 0.831], [0.000, 0.000, 0.000], [0.000, 0.500, 0.169], [0.000, 0.000, 0.330], [0.000, 0.500, 0.500], [0.500, 0.500, 0.661], [0.500, 0.500, 0.339], [0.500, 0.500, 0.000]]}


{"formula": "La4H2Ru", "functional": "PBE", "state": "relaxed", "e_tot_ev_per_atom": -5.2721, "m_tot_mub_per_cell": 0.002, "volume_a3_per_atom": 26.1, "cell": [[5.349, 0.000, 0.000], [0.000, 5.349, 0.000], [2.675, 2.675, 6.388]], "species": ["La", "La", "H", "La", "H", "Ru", "La"], "frac_coords": [[0.000, 0.500, 0.000], [0.500, 0.000, 0.000], [0.577, 0.577, 0.846], [0.239, 0.239, 0.521], [0.423, 0.423, 0.154], [0.000, 0.000, 0.000], [0.761, 0.761, 0.479]]}


{"formula": "Be2AgBr", "functional": "PBE", "state": "relaxed", "raw_formation_energy_ev_per_atom": 0.66, "e_tot_ev_per_atom": -2.3337, "m_tot_mub_per_cell": 0.000, "volume_a3_per_atom": 18.4, "cell": [[-2.404, 4.362, -1.458], [-4.762, -1.640, 1.252], [4.628, 1.518, 1.792]], "species": ["Br", "Ag", "Be", "Be"], "frac_coords": [[0.750, 0.250, 0.500], [0.250, 0.750, 0.500], [0.500, 0.500, 0.000], [0.000, 0.000, 0.000]]}


{"formula": "LaNi2AgH8", "functional": "PBE", "state": "relaxed", "e_tot_ev_per_atom": -3.9238, "m_tot_mub_per_cell": 0.000, "volume_a3_per_atom": 8.8, "cell": [[4.685, 0.000, 0.000], [2.343, 4.057, 0.000], [2.343, 1.352, 5.584]], "species": ["Ni", "Ni", "H", "H", "H", "H", "H", "La", "H", "Ag", "H", "H"], "frac_coords": [[0.305, 0.305, 0.086], [0.695, 0.695, 0.914], [0.637, 0.097, 0.863], [0.597, 0.363, 0.137], [0.363, 0.903, 0.137], [0.205, 0.205, 0.384], [0.795, 0.795, 0.616], [0.500, 0.500, 0.500], [0.903, 0.597, 0.137], [0.000, 0.000, 0.000], [0.097, 0.403, 0.863], [0.403, 0.637, 0.863]]}